1.
Compound: Y2MgAlH
Source: Alexandria
Functional: PBE
Structure: relaxed

## Properties
Energy above the most stable polymorph in this dataset   1.283 eV per atom

Cell lengths 5.642, 5.642, 4.759 Å; angles 90.00, 90.00, 90.00 degrees
Space group P4/mmm (No. 123)
Symmetry-distinct sites (fractional):
Y 0.000 0.500 0.000 (multiplicity 2)
Mg 0.000 0.000 0.000 (multiplicity 1)
Al 0.000 0.000 0.500 (multiplicity 1)
H 0.500 0.500 0.500 (multiplicity 1)

2.
Compound: NpZn2Hg
Source: Alexandria
Functional: PBE
Structure: relaxed

## Properties
Energy above the most stable polymorph in this dataset   0.074 eV per atom
Energy relative to the elements   5.44 kcal/mol of atoms

Cell lengths 5.329, 5.329, 2.881 Å; angles 90.00, 90.00, 90.00 degrees
Space group P4/mmm (No. 123)
Symmetry-distinct sites (fractional):
Np 0.000 0.000 0.000 (multiplicity 1)
Zn 0.000 0.500 0.500 (multiplicity 2)
Hg 0.500 0.500 0.000 (multiplicity 1)

| no. | electronic total energy (eV per cell) | D(E_F) (states/eV per cell) |
| --- | --- | --- |
| 1 | -16.682 | 6.7 |
| 2 | -14.847 | 6.5 |